Entry 1:
{"formula": "Cs4Tl2Bi3", "functional": "PBE", "state": "relaxed", "delta_e_f_ev_per_fu": -2.4, "vol_a3_per_cell": 456.1, "m_tot_mub_per_fu": 0.00, "cell": [[10.662, -2.388, 0.000], [10.662, 2.388, 0.000], [-2.593, 0.000, 8.956]], "species": ["Cs", "Cs", "Cs", "Cs", "Tl", "Tl", "Bi", "Bi", "Bi"], "fractional_positions": [[0.058, 0.058, 0.371], [0.249, 0.249, 0.784], [0.751, 0.751, 0.216], [0.942, 0.942, 0.629], [0.116, 0.116, 0.013], [0.884, 0.884, 0.987], [0.403, 0.403, 0.230], [0.500, 0.500, 0.000], [0.597, 0.597, 0.770]]}

Entry 2:
{"formula": "Sr6Li15Hg8", "functional": "PBE", "state": "relaxed", "delta_e_f_ev_per_fu": -8.2, "vol_a3_per_cell": 737.6, "m_tot_mub_per_fu": 0.00, "cell": [[0.000, 7.171, 7.171], [7.171, 0.000, 7.171], [7.171, 7.171, 0.000]], "species": ["Sr", "Sr", "Sr", "Sr", "Sr", "Sr", "Li", "Li", "Li", "Li", "Li", "Li", "Li", "Li", "Li", "Li", "Li", "Li", "Li", "Li", "Li", "Hg", "Hg", "Hg", "Hg", "Hg", "Hg", "Hg", "Hg"], "fractional_positions": [[0.228, 0.228, 0.772], [0.228, 0.772, 0.228], [0.228, 0.772, 0.772], [0.772, 0.228, 0.228], [0.772, 0.228, 0.772], [0.772, 0.772, 0.228], [0.000, 0.000, 0.500], [0.000, 0.500, 0.000], [0.000, 0.500, 0.500], [0.177, 0.177, 0.177], [0.177, 0.177, 0.468], [0.177, 0.468, 0.177], [0.468, 0.177, 0.177], [0.500, 0.000, 0.000], [0.500, 0.000, 0.500], [0.500, 0.500, 0.000], [0.500, 0.500, 0.500], [0.532, 0.823, 0.823], [0.823, 0.532, 0.823], [0.823, 0.823, 0.532], [0.823, 0.823, 0.823], [0.097, 0.634, 0.634], [0.366, 0.366, 0.366], [0.366, 0.366, 0.903], [0.366, 0.903, 0.366], [0.634, 0.097, 0.634], [0.634, 0.634, 0.097], [0.634, 0.634, 0.634], [0.903, 0.366, 0.366]]}

Entry 3:
{"formula": "BeGeAs2Br", "functional": "PBE", "state": "relaxed", "vol_a3_per_cell": 106.5, "m_tot_mub_per_fu": 0.00, "final_energy_ev_per_atom": -3.406, "cell": [[4.384, 0.000, 0.000], [0.000, 4.384, 0.000], [0.000, 0.000, 5.544]], "species": ["Be", "Ge", "As", "As", "Br"], "fractional_positions": [[0.000, 0.000, 0.000], [0.500, 0.500, 0.500], [0.000, 0.500, 0.000], [0.500, 0.000, 0.000], [0.000, 0.000, 0.500]]}

Entry 4:
{"formula": "LiTbZr2", "functional": "PBE", "state": "relaxed", "delta_e_f_ev_per_fu": 1.7, "vol_a3_per_cell": 292.3, "m_tot_mub_per_fu": 0.00, "cell": [[3.115, 0.000, 0.000], [-1.558, 2.698, 0.000], [0.000, 0.000, 34.780]], "species": ["Li", "Li", "Li", "Tb", "Tb", "Tb", "Zr", "Zr", "Zr", "Zr", "Zr", "Zr"], "fractional_positions": [[0.000, 0.000, 0.000], [0.333, 0.667, 0.667], [0.667, 0.333, 0.333], [0.000, 0.000, 0.500], [0.333, 0.667, 0.167], [0.667, 0.333, 0.833], [0.000, 0.000, 0.408], [0.000, 0.000, 0.592], [0.333, 0.667, 0.075], [0.333, 0.667, 0.259], [0.667, 0.333, 0.741], [0.667, 0.333, 0.925]]}